The following is a PBE calculation of a relaxed NpSiC2 crystal, from Alexandria.

Cell: 3.7335 3.7335 16.5072 Å, 90.00 90.00 120.00°
With the nearest neighbours (Å) after each atom.
Space group R-3m (No. 166, hexagonal axes)
Unique sites:
Np: 0.0000 0.0000 0.0000 (multiplicity 3)  6 C 2.38
Si: 0.0000 0.0000 0.5000 (multiplicity 3)  2 C 1.74
C: 0.0000 0.0000 0.3946 (multiplicity 6)  1 Si 1.74

energy relative to the elements, uncorrected = 0.6291 eV/atom
calculated volume = 16.61 Å³ per atom
theoretical density = 7.227 g cm⁻³
spin magnetization = 8.98 Bohr magnetons per cell
final energy = -8.57 eV/atom
Fermi-level density of states = 1.68 states/eV/atom